! Er3TmFe | Alexandria via LeMat-Bulk | PBE | optimized geometry; values from VASP
! Size of the total moment (μB/cell): 0.4
! Energy above the lowest structure with this stoichiometry (meV/atom): 0
! Energy (eV per formula unit): -26.51
! Symmetry: Pnma (62)
&SYSTEM
  ibrav = 0, nat = 20, ntyp = 3
/
ATOMIC_SPECIES
Er 167.26 Er.upf
Tm 168.93 Tm.upf
Fe 55.84 Fe.upf
CELL_PARAMETERS angstrom
10.639 0.000 0.000
0.000 3.665 0.000
0.000 0.000 13.504
ATOMIC_POSITIONS crystal
Er 0.035 0.250 0.099
Er 0.062 0.750 0.327
Er 0.199 0.750 0.748
Er 0.301 0.250 0.248
Er 0.438 0.250 0.827
Er 0.465 0.750 0.599
Er 0.535 0.250 0.401
Er 0.562 0.750 0.173
Er 0.699 0.750 0.752
Er 0.801 0.250 0.252
Er 0.938 0.250 0.673
Er 0.965 0.750 0.901
Tm 0.205 0.250 0.508
Tm 0.295 0.750 0.008
Tm 0.705 0.250 0.992
Tm 0.795 0.750 0.492
Fe 0.170 0.250 0.901
Fe 0.330 0.750 0.401
Fe 0.670 0.250 0.599
Fe 0.830 0.750 0.099


! Er3TmFe | Alexandria via LeMat-Bulk | PBE | optimized geometry; values from VASP
! Size of the total moment (μB/cell): 0.0
! Energy above the lowest structure with this stoichiometry (meV/atom): 85
! Energy (eV per formula unit): -26.08
! Symmetry: Pm-3m (221)
&SYSTEM
  ibrav = 0, nat = 5, ntyp = 3
/
ATOMIC_SPECIES
Er 167.26 Er.upf
Tm 168.93 Tm.upf
Fe 55.84 Fe.upf
CELL_PARAMETERS angstrom
5.202 0.000 0.000
0.000 5.202 0.000
0.000 0.000 5.202
ATOMIC_POSITIONS crystal
Er 0.000 0.000 0.500
Er 0.000 0.500 0.000
Er 0.500 0.000 0.000
Tm 0.500 0.500 0.500
Fe 0.000 0.000 0.000


! Er2TmFe | Alexandria via LeMat-Bulk | PBE | optimized geometry; values from VASP
! Size of the total moment (μB/cell): 4.4
! Energy above the lowest structure with this stoichiometry (meV/atom): 241
! Energy (eV per formula unit): -21.26
! Symmetry: R-3m (166)
&SYSTEM
  ibrav = 0, nat = 12, ntyp = 3
/
ATOMIC_SPECIES
Er 167.26 Er.upf
Tm 168.93 Tm.upf
Fe 55.84 Fe.upf
CELL_PARAMETERS angstrom
3.484 0.000 0.000
-1.742 3.017 0.000
0.000 0.000 29.193
ATOMIC_POSITIONS crystal
Er 0.000 0.000 0.230
Er 0.000 0.000 0.770
Er 0.333 0.667 0.436
Er 0.333 0.667 0.897
Er 0.667 0.333 0.103
Er 0.667 0.333 0.564
Tm 0.000 0.000 0.000
Tm 0.333 0.667 0.667
Tm 0.667 0.333 0.333
Fe 0.000 0.000 0.500
Fe 0.333 0.667 0.167
Fe 0.667 0.333 0.833


! Er3TmFe8 | Alexandria via LeMat-Bulk | PBE | optimized geometry; values from VASP
! Size of the total moment (μB/cell): 12.8
! Energy (eV per formula unit): -87.39
! Symmetry: R3m (160)
&SYSTEM
  ibrav = 0, nat = 12, ntyp = 3
/
ATOMIC_SPECIES
Er 167.26 Er.upf
Tm 168.93 Tm.upf
Fe 55.84 Fe.upf
CELL_PARAMETERS angstrom
2.547 1.470 8.294
-2.547 1.470 8.294
0.000 -2.940 8.294
ATOMIC_POSITIONS crystal
Er 0.000 0.000 0.000
Er 0.125 0.125 0.125
Er 0.500 0.500 0.500
Tm 0.625 0.625 0.625
Fe 0.062 0.563 0.563
Fe 0.063 0.063 0.563
Fe 0.063 0.563 0.063
Fe 0.312 0.312 0.312
Fe 0.563 0.062 0.563
Fe 0.563 0.063 0.063
Fe 0.563 0.563 0.062
Fe 0.813 0.813 0.813


Number 1: energy of formation from the pure elements 0.023 eV/atom. Number 2: energy of formation from the pure elements 0.108 eV/atom. Number 3: energy of formation from the pure elements 0.200 eV/atom. Number 4: energy of formation from the pure elements -0.127 eV/atom.